# BeFe2Te (GGA-PBE, optimized geometry)
# Crystal system ... monoclinic
# Fermi-level density of states ... 0.5704 states/eV/atom
# Formation energy (no corrections) ... 0.3169 eV/atom
# Size of the total moment ... 0.97 μB per atom
# Distance to the lowest polymorph of the same formula ... 70.5 meV/atom
data_BeFe2Te
_chemical_formula_sum 'Be2 Fe4 Te2'
_cell_length_a 7.8145
_cell_length_b 3.4052
_cell_length_c 4.4629
_cell_angle_alpha 90.00
_cell_angle_beta 108.35
_cell_angle_gamma 90.00
_space_group_name_H-M_alt 'C 1 m 1'
_space_group_IT_number 8
_space_group_name_Hall 'C -2y'
loop_
_atom_site_label
_atom_site_type_symbol
_atom_site_fract_x
_atom_site_fract_y
_atom_site_fract_z
Be1 Be 0.0000 0.0000 0.0000
Fe1 Fe 0.2122 0.5000 0.0443
Fe2 Fe 0.4517 0.0000 0.3008
Te1 Te 0.2159 0.0000 0.6029